The following is a GGA-PBE calculation of an optimized crystal structure of CsMg2Sb2, from Alexandria via LeMat-Bulk.

Values from the calculation:
The calculation puts the distance to the lowest polymorph of the same formula at 1.336 eV/f.u. As for the total DFT energy (no corrections): -2.636 eV per atom.

CIF file:
```
data_CsMg2Sb2
_symmetry_space_group_name_H-M 'P 4/m b m'
_symmetry_Int_Tables_number 127
_symmetry_space_group_name_Hall '-P 4 2ab'
_cell_length_a 9.4063
_cell_length_b 9.4063
_cell_length_c 3.4822
_cell_angle_alpha 90.00
_cell_angle_beta 90.00
_cell_angle_gamma 90.00
loop_
_atom_site_label
_atom_site_type_symbol
_atom_site_fract_x
_atom_site_fract_y
_atom_site_fract_z
Cs1 Cs 0.0000 0.0000 0.0000
Mg1 Mg 0.1280 0.3720 0.5000
Sb1 Sb 0.1515 0.6515 0.0000
```

The following is a GGA-PBE calculation of an optimized crystal structure of Tm2Th, from Alexandria via LeMat-Bulk.

Values from the calculation:
The calculation puts the distance to the lowest polymorph of the same formula at 0.000 eV/f.u. As for the total DFT energy (no corrections): -5.473 eV per atom. The formation enthalpy at 0 K is -1.8 kJ/mol of atoms.

CIF file:
```
data_Tm2Th
_symmetry_space_group_name_H-M 'R -3 m'
_symmetry_Int_Tables_number 166
_symmetry_space_group_name_Hall '-R 3 2"'
_cell_length_a 3.5599
_cell_length_b 3.5599
_cell_length_c 25.2361
_cell_angle_alpha 90.00
_cell_angle_beta 90.00
_cell_angle_gamma 120.00
loop_
_atom_site_label
_atom_site_type_symbol
_atom_site_fract_x
_atom_site_fract_y
_atom_site_fract_z
Tm1 Tm 0.0000 0.0000 0.2230
Th1 Th 0.0000 0.0000 0.0000
```

Among the records above, which one has the highest total DFT energy (no corrections)?
CsMg2Sb2

total DFT energy (no corrections) of number 2 (Tm2Th)?
-5.473 eV per atom

Which value of total DFT energy (no corrections) does entry 1 give?
-2.636 eV per atom